The following is a PBE calculation of a geometry-optimized Al2ZnHg structure, from Alexandria.

a = 2.945 Å, b = 4.105 Å, c = 6.039 Å
α = 90.00°, β = 90.00°, γ = 90.00°
Element x y z (fractional)
Hg 0.500 0.500 0.250
Al 0.000 0.000 0.522
Al 0.000 0.000 0.978
Zn 0.500 0.500 0.750

Calculated values
ΔE_f ... 158 meV per atom
Crystal system ... orthorhombic
V ... 18.25 Å³/atom
Offset from the most stable computed form ... 60 meV/atom
DOS at the Fermi energy ... 1.078 states/eV per cell
Uncorrected energy ... -2.107 eV/atom
SG ... Pmmm, No. 47

The following is a PBE calculation of a geometry-optimized AcCe2ErP4 structure, from Alexandria.

a = 4.154 Å, b = 7.186 Å, c = 7.211 Å
α = 70.59°, β = 90.00°, γ = 90.00°
Each line ends with the local moment (μB).
Element x y z (fractional)
Er 0.000 0.500 0.500  0.01
P 0.500 0.247 0.738  -0.02
P 0.500 0.753 0.262  -0.02
P 0.000 0.236 0.269  -0.01
P 0.000 0.764 0.731  -0.01
Ac 0.500 0.500 0.000  0.01
Ce 0.000 0.000 0.000  0.64
Ce 0.500 0.000 0.500  0.36

Calculated values
ΔE_f ... -1467 meV per atom
Crystal system ... monoclinic
V ... 25.38 Å³/atom
DOS at the Fermi energy ... 9.561 states/eV per cell
Uncorrected energy ... -6.740 eV/atom
SG ... P2/m, No. 10

The following is a PBE calculation of a geometry-optimized Li2ZrRh2 structure, from Alexandria.

a = 3.365 Å, b = 3.365 Å, c = 7.298 Å
α = 76.67°, β = 76.67°, γ = 90.00°
Element x y z (fractional)
Rh 0.604 0.604 0.792
Rh 0.396 0.396 0.208
Li 0.750 0.250 0.500
Li 0.250 0.750 0.500
Zr 0.000 0.000 0.000

Calculated values
ΔE_f ... -331 meV per atom
Crystal system ... tetragonal
V ... 15.62 Å³/atom
Offset from the most stable computed form ... 0 meV/atom
DOS at the Fermi energy ... 1.666 states/eV per cell
Uncorrected energy ... -5.747 eV/atom
SG ... I4/mmm, No. 139

Q: Which of these has the highest V?
A: AcCe2ErP4

Q: What is the formula in the third record?
A: Li2ZrRh2